## one
DFT (GGA-PBE) results for GaIF after structural relaxation.

a b c (Å): 5.3690 3.8910 3.8910
angles (deg): 120.00 90.00 90.00
Last column: nearest neighbours and their distance in Å.
Positions (direct):
F1 0.2051 0.3333 0.6667  3 Ga 2.36
I1 0.7245 0.6667 0.3333  3 Ga 2.91
Ga1 0.0704 0.0000 0.0000  3 F 2.36

Output
D(E_F) = 3.1 states/eV/f.u.
total magnetization = 0.0 μB per cell

## two
DFT (GGA-PBE) results for GaIF after structural relaxation.

a b c (Å): 4.7210 4.9047 10.9292
angles (deg): 116.78 74.48 121.04
Last column: nearest neighbours and their distance in Å.
Positions (direct):
F1 0.8482 0.1850 0.9779  2 Ga 1.99-2.01
I1 0.3319 0.3256 0.6764  1 Ga 2.49
I2 0.6681 0.6744 0.3236  1 Ga 2.49
Ga1 0.6796 0.5310 0.0731  2 F 1.99-2.01
F2 0.1518 0.8150 0.0221  2 Ga 1.99-2.01
Ga2 0.3204 0.4690 0.9269  2 F 1.99-2.01

Output
D(E_F) = 0.0 states/eV/f.u.
total magnetization = 0.0 μB per cell

Most stable = two

## one
DFT (GGA-PBE) results for GaI2F after structural relaxation.

a b c (Å): 5.0901 5.0901 5.0901
angles (deg): 60.00 60.00 60.00
Last column: nearest neighbours and their distance in Å.
Positions (direct):
I1 0.2500 0.2500 0.2500  4 F 3.12, 4 Ga 3.12
F1 0.0000 0.0000 0.0000  8 I 3.12
Ga1 0.5000 0.5000 0.5000  8 I 3.12
I2 0.7500 0.7500 0.7500  4 F 3.12, 4 Ga 3.12

Output
D(E_F) = 4.6 states/eV/f.u.
total magnetization = 0.0 μB per cell

## two
DFT (GGA-PBE) results for GaI2F after structural relaxation.

a b c (Å): 7.2172 7.2172 6.6513
angles (deg): 57.14 57.14 90.00
Last column: nearest neighbours and their distance in Å.
Positions (direct):
Ga1 0.7500 0.2500 0.5000  4 I 2.66
I1 0.6482 0.1250 0.2500  2 Ga 2.66, 2 F 2.88
I2 0.3750 0.3518 0.7500  2 Ga 2.66, 2 F 2.88
F1 0.2500 0.7500 0.5000  4 I 2.88
Ga2 0.0000 0.0000 0.0000  4 I 2.66
I3 0.1018 0.6250 0.2500  2 Ga 2.66, 2 F 2.88
I4 0.8750 0.8982 0.7500  2 Ga 2.66, 2 F 2.88
F2 0.5000 0.5000 0.0000  4 I 2.88

Output
D(E_F) = 0.0 states/eV/f.u.
total magnetization = 0.0 μB per cell

Most stable = two

## one
DFT (GGA-PBE) results for GaIN2F after structural relaxation.

a b c (Å): 4.0825 4.0825 4.8671
angles (deg): 90.00 90.00 90.00
Last column: nearest neighbours and their distance in Å.
Positions (direct):
N1 0.5000 0.0000 0.0000  2 I 2.04
Ga1 0.5000 0.5000 0.5000  4 F 2.89, 8 N 3.18
N2 0.0000 0.5000 0.0000  2 I 2.04
F1 0.0000 0.0000 0.5000  2 I 2.43
I1 0.0000 0.0000 0.0000  4 N 2.04

Output
D(E_F) = 2.3 states/eV/f.u.
total magnetization = 0.0 μB per cell

## two
DFT (GGA-PBE) results for GaIN2F after structural relaxation.

a b c (Å): 4.0941 4.0941 3.8431
angles (deg): 90.00 90.00 90.00
Last column: nearest neighbours and their distance in Å.
Positions (direct):
N1 0.5000 0.0000 0.0000  2 Ga 2.05
F1 0.0000 0.0000 0.5000  2 Ga 1.92
I1 0.5000 0.5000 0.5000  8 N 2.81, 4 F 2.89
Ga1 0.0000 0.0000 0.0000  2 F 1.92, 4 N 2.05
N2 0.0000 0.5000 0.0000  2 Ga 2.05

Output
D(E_F) = 2.2 states/eV/f.u.
total magnetization = 0.0 μB per cell

## three
DFT (GGA-PBE) results for GaIN2F after structural relaxation.

a b c (Å): 5.0617 5.0617 4.5076
angles (deg): 90.00 90.00 90.00
Last column: nearest neighbours and their distance in Å.
Positions (direct):
I1 0.0000 0.0000 0.5000  2 F 2.25
Ga1 0.5000 0.5000 0.5000  8 N 3.39, 4 I 3.58
F1 0.0000 0.0000 0.0000  2 I 2.25
N1 0.5000 0.0000 0.0000  2 F 2.53
N2 0.0000 0.5000 0.0000  2 F 2.53

Output
D(E_F) = 1.1 states/eV/f.u.
total magnetization = 5.3 μB per cell

## four
DFT (GGA-PBE) results for GaIN2F after structural relaxation.

a b c (Å): 3.8777 3.8777 6.1127
angles (deg): 90.00 90.00 90.00
Last column: nearest neighbours and their distance in Å.
Positions (direct):
N1 0.0000 0.5000 0.0000  2 Ga 1.94
N2 0.5000 0.0000 0.0000  2 Ga 1.94
I1 0.0000 0.0000 0.5000  4 F 2.74, 2 Ga 3.06
Ga1 0.0000 0.0000 0.0000  4 N 1.94
F1 0.5000 0.5000 0.5000  4 I 2.74

Output
D(E_F) = 3.9 states/eV/f.u.
total magnetization = 2.8 μB per cell

Most stable = two

## one
DFT (GGA-PBE) results for GaI2OF after structural relaxation.

a b c (Å): 5.9193 5.9193 3.4318
angles (deg): 90.00 90.00 90.00
Last column: nearest neighbours and their distance in Å.
Positions (direct):
I1 0.0000 0.5000 0.0000  2 Ga 2.96
Ga1 0.0000 0.0000 0.0000  2 O 1.72
F1 0.5000 0.5000 0.5000  8 I 3.42, 2 F 3.43
O1 0.0000 0.0000 0.5000  2 Ga 1.72
I2 0.5000 0.0000 0.0000  2 Ga 2.96

Output
D(E_F) = 8.6 states/eV/f.u.
total magnetization = 0.0 μB per cell

## two
DFT (GGA-PBE) results for GaI2OF after structural relaxation.

a b c (Å): 5.0500 5.0500 4.5354
angles (deg): 90.00 90.00 90.00
Last column: nearest neighbours and their distance in Å.
Positions (direct):
I1 0.5000 0.0000 0.0000  2 F 2.53
Ga1 0.5000 0.5000 0.5000  8 I 3.39, 4 O 3.57
F1 0.0000 0.0000 0.0000  2 O 2.27, 4 I 2.53
I2 0.0000 0.5000 0.0000  2 F 2.53
O1 0.0000 0.0000 0.5000  2 F 2.27

Output
D(E_F) = 5.4 states/eV/f.u.
total magnetization = 0.0 μB per cell

Most stable = one

## one
DFT (GGA-PBE) results for GaIOF2 after structural relaxation.

a b c (Å): 3.9136 3.9136 4.6096
angles (deg): 90.00 90.00 90.00
Last column: nearest neighbours and their distance in Å.
Positions (direct):
O1 0.0000 0.0000 0.5000  2 Ga 2.30
F1 0.5000 0.0000 0.0000  2 Ga 1.96
F2 0.0000 0.5000 0.0000  2 Ga 1.96
Ga1 0.0000 0.0000 0.0000  4 F 1.96
I1 0.5000 0.5000 0.5000  4 O 2.77, 8 F 3.02

Output
D(E_F) = 1.6 states/eV/f.u.
total magnetization = 0.0 μB per cell

## two
DFT (GGA-PBE) results for GaIOF2 after structural relaxation.

a b c (Å): 4.9586 4.9586 4.0607
angles (deg): 90.00 90.00 90.00
Last column: nearest neighbours and their distance in Å.
Positions (direct):
O1 0.0000 0.0000 0.5000  2 I 2.03
I1 0.0000 0.0000 0.0000  2 O 2.03
F1 0.0000 0.5000 0.0000  2 I 2.48
F2 0.5000 0.0000 0.0000  2 I 2.48
Ga1 0.5000 0.5000 0.5000  8 F 3.20, 4 O 3.51

Output
D(E_F) = 2.0 states/eV/f.u.
total magnetization = 0.0 μB per cell

Most stable = one

## one
DFT (GGA-PBE) results for GaSbI2F after structural relaxation.

a b c (Å): 6.1076 6.1076 4.2348
angles (deg): 90.00 90.00 90.00
Last column: nearest neighbours and their distance in Å.
Positions (direct):
F1 0.0000 0.0000 0.0000  2 Sb 2.12
Ga1 0.5000 0.5000 0.5000  8 I 3.72
I1 0.5000 0.0000 0.0000  2 F 3.05
Sb1 0.0000 0.0000 0.5000  2 F 2.12
I2 0.0000 0.5000 0.0000  2 F 3.05

Output
D(E_F) = 1.8 states/eV/f.u.
total magnetization = 0.0 μB per cell

## two
DFT (GGA-PBE) results for GaSbI2F after structural relaxation.

a b c (Å): 5.5161 5.5161 5.4072
angles (deg): 90.00 90.00 90.00
Last column: nearest neighbours and their distance in Å.
Positions (direct):
I1 0.5000 0.0000 0.0000  2 Ga 2.76
F1 0.5000 0.5000 0.5000  8 I 3.86, 4 Sb 3.90
I2 0.0000 0.5000 0.0000  2 Ga 2.76
Ga1 0.0000 0.0000 0.0000  2 Sb 2.70, 4 I 2.76
Sb1 0.0000 0.0000 0.5000  2 Ga 2.70

Output
D(E_F) = 5.6 states/eV/f.u.
total magnetization = 0.0 μB per cell

Most stable = one

## one
DFT (GGA-PBE) results for GaSb2IF after structural relaxation.

a b c (Å): 5.3234 5.3234 5.5335
angles (deg): 90.00 90.00 90.00
Last column: nearest neighbours and their distance in Å.
Positions (direct):
F1 0.5000 0.5000 0.5000  4 I 3.76, 8 Sb 3.84
I1 0.0000 0.0000 0.5000  2 Ga 2.77
Sb1 0.5000 0.0000 0.0000  2 Ga 2.66
Ga1 0.0000 0.0000 0.0000  4 Sb 2.66, 2 I 2.77
Sb2 0.0000 0.5000 0.0000  2 Ga 2.66

Output
D(E_F) = 4.5 states/eV/f.u.
total magnetization = 0.0 μB per cell

## two
DFT (GGA-PBE) results for GaSb2IF after structural relaxation.

a b c (Å): 4.7242 4.7242 6.4274
angles (deg): 90.00 90.00 90.00
Last column: nearest neighbours and their distance in Å.
Positions (direct):
Sb1 0.5000 0.0000 0.0000  2 F 2.36
Sb2 0.0000 0.5000 0.0000  2 F 2.36
Ga1 0.5000 0.5000 0.5000  4 I 3.34
I1 0.0000 0.0000 0.5000  2 F 3.21, 4 Ga 3.34
F1 0.0000 0.0000 0.0000  4 Sb 2.36

Output
D(E_F) = 2.8 states/eV/f.u.
total magnetization = 0.0 μB per cell

Most stable = two

## one
DFT (GGA-PBE) results for GaTeI2F after structural relaxation.

a b c (Å): 6.1265 6.1265 4.2430
angles (deg): 90.00 90.00 90.00
Last column: nearest neighbours and their distance in Å.
Positions (direct):
F1 0.0000 0.0000 0.0000  2 Te 2.12
Ga1 0.5000 0.5000 0.5000  8 I 3.73
I1 0.0000 0.5000 0.0000  2 F 3.06
I2 0.5000 0.0000 0.0000  2 F 3.06
Te1 0.0000 0.0000 0.5000  2 F 2.12

Output
D(E_F) = 3.9 states/eV/f.u.
total magnetization = 0.4 μB per cell

## two
DFT (GGA-PBE) results for GaTeI2F after structural relaxation.

a b c (Å): 5.5489 5.5489 5.4532
angles (deg): 90.00 90.00 90.00
Last column: nearest neighbours and their distance in Å.
Positions (direct):
Ga1 0.0000 0.0000 0.0000  2 Te 2.73, 4 I 2.77
I1 0.0000 0.5000 0.0000  2 Ga 2.77
Te1 0.0000 0.0000 0.5000  2 Ga 2.73
F1 0.5000 0.5000 0.5000  8 I 3.89, 4 Te 3.92
I2 0.5000 0.0000 0.0000  2 Ga 2.77

Output
D(E_F) = 8.5 states/eV/f.u.
total magnetization = 1.3 μB per cell

Most stable = one